[1]
# InSb2Au

Crystalline InSb2Au at its relaxed geometry (PBE-GGA, Alexandria).

Its density is 8.759 g cm⁻³. The value obtained for the raw formation energy is 1.22 kcal/mol of atoms. The density of states at the Fermi level comes out at 3.994 states/eV/cell. Its total magnetization is 0.00 Bohr magnetons per cell.

The structure belongs to space group Imm2 (No. 44); the cell edges are 3.998, 4.300 and 12.246 Å and the angles 90.00°, 90.00° and 90.00°. The inequivalent atoms are In at (0.000, 0.000, 0.000), Sb at (0.000, 0.000, 0.616), Sb at (0.000, 0.500, 0.798) and Au at (0.000, 0.500, 0.307).


[2]
# KNa4Hg

Crystalline KNa4Hg at its relaxed geometry (PBE-GGA, Alexandria).

Its density is 2.425 g cm⁻³. The density of states at the Fermi level comes out at 13.459 states/eV/cell. Its total magnetization is 0.00 Bohr magnetons per cell. The formation enthalpy at 0 K is 0.3 kJ/mol of atoms. For the polymorph energy (0 for the lowest one), the calculation gives 97 meV/atom.

The structure belongs to space group F-43m (No. 216); the cell edges are 9.685, 9.685 and 9.685 Å and the angles 90.00°, 90.00° and 90.00°. The inequivalent atoms are K at (0.000, 0.000, 0.000), Na at (0.123, 0.123, 0.377) and Hg at (0.250, 0.250, 0.750).


[3]
# CaZn2O8

Crystalline CaZn2O8 at its relaxed geometry (PBE-GGA, Alexandria).

Its density is 3.103 g cm⁻³. The value obtained for the raw formation energy is -17.89 kcal/mol of atoms. The density of states at the Fermi level comes out at 2.582 states/eV/cell. Its total magnetization is 4.04 Bohr magnetons per cell.

The structure belongs to space group P2_1/c (No. 14); the cell edges are 6.754, 8.179 and 6.110 Å and the angles 90.00°, 108.61° and 90.00°. The inequivalent atoms are Ca at (0.000, 0.000, 0.000), Zn at (0.434, 0.141, 0.771), O at (0.012, 0.719, 0.809), O at (0.122, 0.094, 0.698), O at (0.362, 0.029, 0.208) and O at (0.460, 0.163, 0.110).


[4]
# CsLi2S

Crystalline CsLi2S at its relaxed geometry (PBE-GGA, Alexandria).

Its density is 1.885 g cm⁻³. The value obtained for the raw formation energy is -16.07 kcal/mol of atoms. The density of states at the Fermi level comes out at 3.088 states/eV/cell. Its total magnetization is 0.00 Bohr magnetons per cell.

The structure belongs to space group I4_1/amd (No. 141, origin choice 2); the cell edges are 7.647, 7.647 and 10.778 Å and the angles 90.00°, 90.00° and 90.00°. The inequivalent atoms are Cs at (0.000, 0.250, 0.375), Li at (0.000, 0.000, 0.000) and S at (0.000, 0.250, 0.875).


[5]
# Ca2AgSb2

Crystalline Ca2AgSb2 at its relaxed geometry (PBE-GGA, Alexandria).

Its density is 4.330 g cm⁻³. The value obtained for the raw formation energy is -10.03 kcal/mol of atoms. The density of states at the Fermi level comes out at 5.953 states/eV/cell. Its total magnetization is 0.00 Bohr magnetons per cell. For the polymorph energy (0 for the lowest one), the calculation gives 269 meV/atom.

The structure belongs to space group I4/mmm (No. 139); the cell edges are 6.158, 6.158 and 8.729 Å and the angles 90.00°, 90.00° and 90.00°. The inequivalent atoms are Ca at (0.000, 0.500, 0.250), Ag at (0.000, 0.000, 0.000) and Sb at (0.000, 0.000, 0.321).


[6]
# K5NaF5

Crystalline K5NaF5 at its relaxed geometry (PBE-GGA, Alexandria).

Its density is 2.206 g cm⁻³. The value obtained for the raw formation energy is -54.99 kcal/mol of atoms. The density of states at the Fermi level comes out at 3.136 states/eV/cell. Its total magnetization is 1.36 Bohr magnetons per cell.

The structure belongs to space group C2/m (No. 12); the cell edges are 12.033, 5.396 and 7.657 Å and the angles 90.00°, 108.37° and 90.00°. The inequivalent atoms are K at (0.000, 0.000, 0.000), K at (0.169, 0.500, 0.348), K at (0.175, 0.500, 0.819), Na at (0.000, 0.000, 0.500), F at (0.000, 0.500, 0.500), F at (0.151, 0.000, 0.346) and F at (0.159, 0.000, 0.811).


[7]
# AgTe2Ru

Crystalline AgTe2Ru at its relaxed geometry (PBE-GGA, Alexandria).

Its density is 8.297 g cm⁻³. The value obtained for the raw formation energy is 1.49 kcal/mol of atoms. The density of states at the Fermi level comes out at 6.711 states/eV/cell. Its total magnetization is 0.00 Bohr magnetons per cell. For the polymorph energy (0 for the lowest one), the calculation gives 58 meV/atom.

The structure belongs to space group C2/m (No. 12); the cell edges are 6.615, 3.811 and 7.688 Å and the angles 90.00°, 106.56° and 90.00°. The inequivalent atoms are Ag at (0.000, 0.000, 0.000), Te at (0.236, 0.000, 0.708) and Ru at (0.000, 0.500, 0.500).


[8]
# AcClF

Crystalline AcClF at its relaxed geometry (PBE-GGA, Alexandria).

Its density is 6.877 g cm⁻³. The value obtained for the raw formation energy is -63.30 kcal/mol of atoms. The density of states at the Fermi level comes out at 0.774 states/eV/cell. Its total magnetization is 0.00 Bohr magnetons per cell. For the polymorph energy (0 for the lowest one), the calculation gives 0 meV/atom.

The structure belongs to space group P-6m2 (No. 187); the cell edges are 4.4836, 4.4836 and 3.9038 Å and the angles 90.00°, 90.00° and 120.00°. The inequivalent atoms are Ac at (0.0000, 0.0000, 0.0000), Cl at (0.3333, 0.6667, 0.5000) and F at (0.6667, 0.3333, 0.0000).


[9]
# Mn2ZnAgH

Crystalline Mn2ZnAgH at its relaxed geometry (PBE-GGA, Alexandria).

Its density is 7.769 g cm⁻³. The density of states at the Fermi level comes out at 3.366 states/eV/cell. Its total magnetization is 6.31 Bohr magnetons per cell. For the polymorph energy (0 for the lowest one), the calculation gives 8 meV/atom.

The structure belongs to space group P4/mmm (No. 123); the cell edges are 3.822, 3.822 and 4.157 Å and the angles 90.00°, 90.00° and 90.00°. The inequivalent atoms are Mn at (0.000, 0.500, 0.000), Zn at (0.000, 0.000, 0.500), Ag at (0.500, 0.500, 0.500) and H at (0.000, 0.000, 0.000).


[10]
# CaOsPb

Crystalline CaOsPb at its relaxed geometry (PBE-GGA, Alexandria).

Its density is 10.412 g cm⁻³. The density of states at the Fermi level comes out at 3.201 states/eV/cell. Its total magnetization is 0.00 Bohr magnetons per cell. The formation enthalpy at 0 K is 39.1 kJ/mol of atoms.

The structure belongs to space group P-6m2 (No. 187); the cell edges are 4.7295, 4.7295 and 3.6020 Å and the angles 90.00°, 90.00° and 120.00°. The inequivalent atoms are Ca at (0.0000, 0.0000, 0.0000), Os at (0.6667, 0.3333, 0.5000) and Pb at (0.3333, 0.6667, 0.5000).


[11]
# Gd2LuGa

Crystalline Gd2LuGa at its relaxed geometry (PBE-GGA, Alexandria).

Its density is 8.855 g cm⁻³. The density of states at the Fermi level comes out at 3.418 states/eV/cell. Its total magnetization is 15.32 Bohr magnetons per cell. The formation enthalpy at 0 K is -24.7 kJ/mol of atoms. For the polymorph energy (0 for the lowest one), the calculation gives 2 meV/atom.

The structure belongs to space group P4/mmm (No. 123); the cell edges are 4.700, 4.700 and 4.746 Å and the angles 90.00°, 90.00° and 90.00°. The inequivalent atoms are Gd at (0.000, 0.500, 0.000), Lu at (0.000, 0.000, 0.500) and Ga at (0.500, 0.500, 0.500).


[12]
# Y8TmCd2

Crystalline Y8TmCd2 at its relaxed geometry (PBE-GGA, Alexandria).

Its density is 5.319 g cm⁻³. The density of states at the Fermi level comes out at 33.002 states/eV/cell. Its total magnetization is 0.00 Bohr magnetons per cell. The formation enthalpy at 0 K is 2.1 kJ/mol of atoms.

The structure belongs to space group C2/m (No. 12); the cell edges are 8.881, 15.009 and 5.580 Å and the angles 90.00°, 111.90° and 90.00°. The inequivalent atoms are Y at (0.000, 0.221, 0.000), Y at (0.103, 0.500, 0.799), Y at (0.205, 0.114, 0.611), Tm at (0.000, 0.000, 0.000) and Cd at (0.000, 0.307, 0.500).